1.
PBE-GGA InFe2BH, optimized geometry; symmetry = P4/mmm (123); total magnetic moment = 2.824 μB per formula unit; mass density = 7039 kg/m3; final energy = -5.3534 eV per atom
1.0
3.9710 0.0000 0.0000
0.0000 3.9710 0.0000
0.0000 0.0000 3.5654
In Fe B H
1 2 1 1
Direct
0.0000 0.0000 0.0000
0.0000 0.5000 0.5000
0.5000 0.0000 0.5000
0.5000 0.5000 0.5000
0.5000 0.5000 0.0000


2.
PBE-GGA NiRh2S, optimized geometry; symmetry = I-42d (122); total magnetic moment = 0.000 μB per formula unit; mass density = 6738 kg/m3; formation energy without anion corrections = 0.361 eV per atom
1.0
5.1312 0.0000 0.0000
0.0000 5.1312 0.0000
0.0000 0.0000 11.1040
Ni Rh S
4 8 4
Direct
0.0000 0.0000 0.0000
0.0000 0.5000 0.2500
0.5000 0.0000 0.7500
0.5000 0.5000 0.5000
0.2208 0.2500 0.6250
0.2500 0.7208 0.8750
0.2500 0.7792 0.3750
0.2792 0.2500 0.1250
0.7208 0.7500 0.1250
0.7500 0.2208 0.3750
0.7500 0.2792 0.8750
0.7792 0.7500 0.6250
0.0000 0.0000 0.5000
0.0000 0.5000 0.7500
0.5000 0.0000 0.2500
0.5000 0.5000 0.0000


3.
PBE-GGA Ti4FeCu2, optimized geometry; calculated formation energy = 0.35 eV/atom; symmetry = I4/mmm (139); total magnetic moment = 0.000 μB per formula unit; mass density = 5142 kg/m3
1.0
4.4185 0.0000 0.0000
0.0000 4.4185 0.0000
0.0000 0.0000 12.3867
Ti Fe Cu
8 2 4
Direct
0.0000 0.0000 0.1867
0.0000 0.0000 0.8133
0.0000 0.5000 0.0000
0.0000 0.5000 0.5000
0.5000 0.0000 0.0000
0.5000 0.0000 0.5000
0.5000 0.5000 0.3133
0.5000 0.5000 0.6867
0.0000 0.0000 0.0000
0.5000 0.5000 0.5000
0.0000 0.0000 0.3865
0.0000 0.0000 0.6135
0.5000 0.5000 0.1135
0.5000 0.5000 0.8865